Record 1
# PBE VTcPCl2, optimized geometry
# energy relative to the elements, uncorrected	2.4	eV per formula unit
# DOS at the Fermi energy	5.12	states/eV per cell
# polymorph energy (0 for the lowest one)	0	meV per atom
data_VTcPCl2
_chemical_formula_sum 'V1 Tc1 P1 Cl2'
_cell_length_a 4.5632
_cell_length_b 4.5632
_cell_length_c 5.0679
_cell_angle_alpha 90.00
_cell_angle_beta 90.00
_cell_angle_gamma 90.00
_space_group_name_H-M_alt 'P 1'
_space_group_IT_number 1
_space_group_name_Hall 'P 1'
loop_
_atom_site_label
_atom_site_type_symbol
_atom_site_fract_x
_atom_site_fract_y
_atom_site_fract_z
P1 P 0.0000 0.0000 0.5000
Cl1 Cl 0.0000 0.5000 0.0000
Cl2 Cl 0.5000 0.0000 0.0000
Tc1 Tc 0.5000 0.5000 0.5000
V1 V 0.0000 0.0000 0.0000


Record 2
# PBE Pa2GaIr2, optimized geometry
# DOS at the Fermi energy	5.19	states/eV per cell
# DFT formation energy	-790.3	meV per atom
data_Pa2GaIr2
_chemical_formula_sum 'Pa2 Ga1 Ir2'
_cell_length_a 4.5115
_cell_length_b 5.3194
_cell_length_c 5.3194
_cell_angle_alpha 65.54
_cell_angle_beta 64.91
_cell_angle_gamma 64.91
_space_group_name_H-M_alt 'P 1'
_space_group_IT_number 1
_space_group_name_Hall 'P 1'
loop_
_atom_site_label
_atom_site_type_symbol
_atom_site_fract_x
_atom_site_fract_y
_atom_site_fract_z
Pa1 Pa 0.1903 0.3097 0.3097
Pa2 Pa 0.8097 0.6903 0.6903
Ga1 Ga 0.0000 0.0000 0.0000
Ir1 Ir 0.5000 0.2568 0.7432
Ir2 Ir 0.5000 0.7432 0.2568


Record 3
# PBE Cr2Ag2SnS6, optimized geometry
# energy relative to the elements, uncorrected	-5.0	eV per formula unit
data_Cr2Ag2SnS6
_chemical_formula_sum 'Cr2 Ag2 Sn1 S6'
_cell_length_a 6.2697
_cell_length_b 6.2697
_cell_length_c 7.6954
_cell_angle_alpha 81.86
_cell_angle_beta 81.86
_cell_angle_gamma 120.26
_space_group_name_H-M_alt 'P 1'
_space_group_IT_number 1
_space_group_name_Hall 'P 1'
loop_
_atom_site_label
_atom_site_type_symbol
_atom_site_fract_x
_atom_site_fract_y
_atom_site_fract_z
Cr1 Cr 0.3394 0.6606 0.5000
Cr2 Cr 0.6606 0.3394 0.5000
Ag1 Ag 0.8201 0.1799 0.0000
Ag2 Ag 0.1799 0.8201 0.0000
Sn1 Sn 0.0000 0.0000 0.5000
S1 S 0.5880 0.5880 0.6803
S2 S 0.9361 0.2929 0.6781
S3 S 0.4120 0.4120 0.3197
S4 S 0.2929 0.9361 0.6781
S5 S 0.0639 0.7071 0.3219
S6 S 0.7071 0.0639 0.3219


Record 4
# PBE VHgB3, optimized geometry
# DOS at the Fermi energy	2.95	states/eV per cell
# polymorph energy (0 for the lowest one)	0	meV per atom
# DFT formation energy	1426.0	meV per atom
data_VHgB3
_chemical_formula_sum 'V1 Hg1 B3'
_cell_length_a 4.0902
_cell_length_b 4.0902
_cell_length_c 4.0902
_cell_angle_alpha 90.00
_cell_angle_beta 90.00
_cell_angle_gamma 90.00
_space_group_name_H-M_alt 'P 1'
_space_group_IT_number 1
_space_group_name_Hall 'P 1'
loop_
_atom_site_label
_atom_site_type_symbol
_atom_site_fract_x
_atom_site_fract_y
_atom_site_fract_z
B1 B 0.0000 0.5000 0.0000
B2 B 0.0000 0.0000 0.5000
B3 B 0.5000 0.0000 0.0000
Hg1 Hg 0.5000 0.5000 0.5000
V1 V 0.0000 0.0000 0.0000


Record 5
# PBE DyZrZnNi, optimized geometry
# DOS at the Fermi energy	4.47	states/eV per cell
# DFT formation energy	-232.1	meV per atom
data_DyZrZnNi
_chemical_formula_sum 'Dy1 Zr1 Zn1 Ni1'
_cell_length_a 4.7747
_cell_length_b 4.7747
_cell_length_c 4.7747
_cell_angle_alpha 60.00
_cell_angle_beta 60.00
_cell_angle_gamma 60.00
_space_group_name_H-M_alt 'P 1'
_space_group_IT_number 1
_space_group_name_Hall 'P 1'
loop_
_atom_site_label
_atom_site_type_symbol
_atom_site_fract_x
_atom_site_fract_y
_atom_site_fract_z
Ni1 Ni 0.2500 0.2500 0.2500
Zn1 Zn 0.7500 0.7500 0.7500
Zr1 Zr 0.5000 0.5000 0.5000
Dy1 Dy 0.0000 0.0000 0.0000


Record 6
# PBE KPrSI, optimized geometry
# energy relative to the elements, uncorrected	-5.8	eV per formula unit
# DOS at the Fermi energy	2.67	states/eV per cell
data_KPrSI
_chemical_formula_sum 'K1 Pr1 S1 I1'
_cell_length_a 4.2467
_cell_length_b 4.2469
_cell_length_c 8.7227
_cell_angle_alpha 90.01
_cell_angle_beta 104.09
_cell_angle_gamma 120.00
_space_group_name_H-M_alt 'P 1'
_space_group_IT_number 1
_space_group_name_Hall 'P 1'
loop_
_atom_site_label
_atom_site_type_symbol
_atom_site_fract_x
_atom_site_fract_y
_atom_site_fract_z
K1 K 0.5011 0.1485 0.6650
Pr1 Pr 0.1068 0.9514 0.0733
S1 S 0.3194 0.5576 0.8924
I1 I 0.9506 0.3733 0.3390


Record order is preserved below.
Ρ: 3.9, 15.2, 4.2, 6.9, 8.2, 4.3 Mg/m³
Record order is preserved below.
Total magnetic moment: 2.7, 0.0, 6.0, 0.0, 0.0, 0.0 μB per cell